Record 1
# RbTl6In, optimized geometry, DFT PBE-GGA
data_RbTl6In
_chemical_formula_sum 'Rb3 Tl18 In3'
_space_group_name_H-M_alt 'R -3 m'
_space_group_IT_number 166
_space_group_name_Hall '-R 3 2"'
_cell_length_a 5.5448
_cell_length_b 5.5448
_cell_length_c 30.7060
_cell_angle_alpha 90.00
_cell_angle_beta 90.00
_cell_angle_gamma 120.00
loop_
_atom_site_label
_atom_site_type_symbol
_atom_site_fract_x
_atom_site_fract_y
_atom_site_fract_z
Rb1 Rb 0.0000 0.0000 0.0000
Tl1 Tl 0.0000 0.0000 0.1324
Tl2 Tl 0.0000 0.0000 0.2426
Tl3 Tl 0.0000 0.0000 0.4006
In1 In 0.0000 0.0000 0.5000
# formation energy: -39 meV/atom
# crystal system: trigonal
# excess energy over the best structure of this formula in the dataset: 0.00 kcal/mol of atoms


Record 2
# Rb2Tl7In, optimized geometry, DFT PBE-GGA
data_Rb2Tl7In
_chemical_formula_sum 'Rb2 Tl7 In1'
_space_group_name_H-M_alt 'P -4 m 2'
_space_group_IT_number 115
_space_group_name_Hall 'P -4 -2'
_cell_length_a 5.302
_cell_length_b 5.302
_cell_length_c 13.017
_cell_angle_alpha 90.00
_cell_angle_beta 90.00
_cell_angle_gamma 90.00
loop_
_atom_site_label
_atom_site_type_symbol
_atom_site_fract_x
_atom_site_fract_y
_atom_site_fract_z
Rb1 Rb 0.000 0.500 0.248
Tl1 Tl 0.000 0.000 0.000
Tl2 Tl 0.000 0.000 0.500
Tl3 Tl 0.000 0.500 0.635
Tl4 Tl 0.000 0.500 0.869
Tl5 Tl 0.500 0.500 0.500
In1 In 0.500 0.500 0.000
# formation energy: -56 meV/atom
# crystal system: tetragonal
# excess energy over the best structure of this formula in the dataset: 0.00 kcal/mol of atoms


Record 3
# RbTl4In, optimized geometry, DFT PBE-GGA
data_RbTl4In
_chemical_formula_sum 'Rb4 Tl16 In4'
_space_group_name_H-M_alt 'F -4 3 m'
_space_group_IT_number 216
_space_group_name_Hall 'F -4 2 3'
_cell_length_a 9.414
_cell_length_b 9.414
_cell_length_c 9.414
_cell_angle_alpha 90.00
_cell_angle_beta 90.00
_cell_angle_gamma 90.00
loop_
_atom_site_label
_atom_site_type_symbol
_atom_site_fract_x
_atom_site_fract_y
_atom_site_fract_z
Rb1 Rb 0.000 0.000 0.000
Tl1 Tl 0.124 0.124 0.376
In1 In 0.250 0.250 0.750
# formation energy: 17 meV/atom
# crystal system: cubic
# excess energy over the best structure of this formula in the dataset: 1.68 kcal/mol of atoms


Record 4
# Rb5Tl6In, optimized geometry, DFT PBE-GGA
data_Rb5Tl6In
_chemical_formula_sum 'Rb10 Tl12 In2'
_space_group_name_H-M_alt 'C 1 2/m 1'
_space_group_IT_number 12
_space_group_name_Hall '-C 2y'
_cell_length_a 7.753
_cell_length_b 17.222
_cell_length_c 9.029
_cell_angle_alpha 90.00
_cell_angle_beta 109.77
_cell_angle_gamma 90.00
loop_
_atom_site_label
_atom_site_type_symbol
_atom_site_fract_x
_atom_site_fract_y
_atom_site_fract_z
Rb1 Rb 0.000 0.000 0.000
Rb2 Rb 0.000 0.292 0.000
Rb3 Rb 0.000 0.359 0.500
Tl1 Tl 0.085 0.150 0.684
Tl2 Tl 0.136 0.500 0.200
In1 In 0.000 0.000 0.500
# formation energy: -74 meV/atom
# crystal system: monoclinic


Record 5
# RbTl2In8, optimized geometry, DFT PBE-GGA
data_RbTl2In8
_chemical_formula_sum 'Rb1 Tl2 In8'
_space_group_name_H-M_alt 'P 4/m m m'
_space_group_IT_number 123
_space_group_name_Hall '-P 4 2'
_cell_length_a 5.566
_cell_length_b 5.566
_cell_length_c 12.318
_cell_angle_alpha 90.00
_cell_angle_beta 90.00
_cell_angle_gamma 90.00
loop_
_atom_site_label
_atom_site_type_symbol
_atom_site_fract_x
_atom_site_fract_y
_atom_site_fract_z
Rb1 Rb 0.000 0.000 0.000
Tl1 Tl 0.000 0.000 0.358
In1 In 0.000 0.500 0.225
In2 In 0.000 0.500 0.500
In3 In 0.500 0.500 0.361
# formation energy: 43 meV/atom
# crystal system: tetragonal


Record 6
# Rb2Tl3In17, optimized geometry, DFT PBE-GGA
data_Rb2Tl3In17
_chemical_formula_sum 'Rb2 Tl3 In17'
_space_group_name_H-M_alt 'P -1'
_space_group_IT_number 2
_space_group_name_Hall '-P 1'
_cell_length_a 7.682
_cell_length_b 10.040
_cell_length_c 10.099
_cell_angle_alpha 60.74
_cell_angle_beta 86.86
_cell_angle_gamma 87.07
loop_
_atom_site_label
_atom_site_type_symbol
_atom_site_fract_x
_atom_site_fract_y
_atom_site_fract_z
Rb1 Rb 0.196 0.369 0.363
Tl1 Tl 0.000 0.000 0.500
Tl2 Tl 0.000 0.500 0.000
Tl3 Tl 0.500 0.500 0.500
In1 In 0.000 0.000 0.000
In2 In 0.156 0.783 0.345
In3 In 0.159 0.344 0.784
In4 In 0.239 0.731 0.016
In5 In 0.241 0.027 0.725
In6 In 0.292 0.688 0.687
In7 In 0.294 0.148 0.149
In8 In 0.497 0.845 0.153
In9 In 0.500 0.000 0.500
In10 In 0.500 0.500 0.000
# formation energy: 45 meV/atom
# crystal system: triclinic


Record 7
# RbTl3In3, optimized geometry, DFT PBE-GGA
data_RbTl3In3
_chemical_formula_sum 'Rb2 Tl6 In6'
_space_group_name_H-M_alt 'P 63/m'
_space_group_IT_number 176
_space_group_name_Hall '-P 6c'
_cell_length_a 10.1939
_cell_length_b 10.1939
_cell_length_c 5.3978
_cell_angle_alpha 90.00
_cell_angle_beta 90.00
_cell_angle_gamma 120.00
loop_
_atom_site_label
_atom_site_type_symbol
_atom_site_fract_x
_atom_site_fract_y
_atom_site_fract_z
Rb1 Rb 0.3333 0.6667 0.2500
Tl1 Tl 0.0766 0.6771 0.7500
In1 In 0.0403 0.8357 0.2500
# formation energy: -30 meV/atom
# crystal system: hexagonal
# excess energy over the best structure of this formula in the dataset: 0.00 kcal/mol of atoms


Record 8
# Rb3Tl7In4, optimized geometry, DFT PBE-GGA
data_Rb3Tl7In4
_chemical_formula_sum 'Rb6 Tl14 In8'
_space_group_name_H-M_alt 'C 1 2/m 1'
_space_group_IT_number 12
_space_group_name_Hall '-C 2y'
_cell_length_a 19.559
_cell_length_b 5.254
_cell_length_c 11.900
_cell_angle_alpha 90.00
_cell_angle_beta 127.47
_cell_angle_gamma 90.00
loop_
_atom_site_label
_atom_site_type_symbol
_atom_site_fract_x
_atom_site_fract_y
_atom_site_fract_z
Rb1 Rb 0.000 0.000 0.000
Rb2 Rb 0.192 0.500 0.692
Tl1 Tl 0.000 0.000 0.500
Tl2 Tl 0.000 0.500 0.304
Tl3 Tl 0.148 0.000 0.877
Tl4 Tl 0.172 0.500 0.307
In1 In 0.138 0.000 0.412
In2 In 0.164 0.500 0.031
# formation energy: -60 meV/atom
# crystal system: monoclinic


Record 9
# RbTl5In4, optimized geometry, DFT PBE-GGA
data_RbTl5In4
_chemical_formula_sum 'Rb1 Tl5 In4'
_space_group_name_H-M_alt 'P 4/m m m'
_space_group_IT_number 123
_space_group_name_Hall '-P 4 2'
_cell_length_a 4.045
_cell_length_b 4.045
_cell_length_c 19.237
_cell_angle_alpha 90.00
_cell_angle_beta 90.00
_cell_angle_gamma 90.00
loop_
_atom_site_label
_atom_site_type_symbol
_atom_site_fract_x
_atom_site_fract_y
_atom_site_fract_z
Rb1 Rb 0.000 0.000 0.000
Tl1 Tl 0.500 0.500 0.133
Tl2 Tl 0.500 0.500 0.312
Tl3 Tl 0.500 0.500 0.500
In1 In 0.000 0.000 0.221
In2 In 0.000 0.000 0.401
# formation energy: 1 meV/atom
# crystal system: tetragonal


Record 10
# Rb2TlIn2, optimized geometry, DFT PBE-GGA
data_Rb2TlIn2
_chemical_formula_sum 'Rb4 Tl2 In4'
_space_group_name_H-M_alt 'P 4/m b m'
_space_group_IT_number 127
_space_group_name_Hall '-P 4 2ab'
_cell_length_a 8.139
_cell_length_b 8.139
_cell_length_c 6.191
_cell_angle_alpha 90.00
_cell_angle_beta 90.00
_cell_angle_gamma 90.00
loop_
_atom_site_label
_atom_site_type_symbol
_atom_site_fract_x
_atom_site_fract_y
_atom_site_fract_z
Rb1 Rb 0.180 0.320 0.000
Tl1 Tl 0.000 0.000 0.500
In1 In 0.129 0.629 0.500
# formation energy: 0 meV/atom
# crystal system: tetragonal
# excess energy over the best structure of this formula in the dataset: 1.62 kcal/mol of atoms


formation energy of number 6 (Rb2Tl3In17)?
45 meV/atom


Look up the formation energy of the fifth one.
43 meV/atom


Which of these has the highest formation energy?
Rb2Tl3In17